[1]
Density functional theory data (PBE) for a relaxed Si crystal.

Lattice parameters (Å, degrees): 7.4909 7.4909 7.4909 90.00 90.00 90.00
Sites, in units of the cell vectors:
Si 0.8400 0.1600 0.8400
Si 0.3400 0.6600 0.3400
Si 0.8400 0.8400 0.8400
Si 0.3400 0.3400 0.3400
Si 0.1600 0.8400 0.8400
Si 0.8400 0.1600 0.1600
Si 0.1600 0.1600 0.8400
Si 0.1600 0.1600 0.1600
Si 0.6600 0.6600 0.3400
Si 0.3400 0.3400 0.6600
Si 0.3400 0.6600 0.6600
Si 0.1600 0.8400 0.1600
Si 0.6600 0.3400 0.6600
Si 0.8400 0.8400 0.1600
Si 0.6600 0.6600 0.6600
Si 0.6600 0.3400 0.3400

Summary:
- calculated density (g cm⁻³) = 1.8
- excess energy over the best structure of this formula in the dataset (eV/atom) = 0.321
- uncorrected formation energy (eV per atom) = 0.321
- electronic total energy (eV/atom) = -5.102

***

[2]
Density functional theory data (PBE) for a relaxed Si crystal.

Lattice parameters (Å, degrees): 5.7620 5.7620 5.7620 109.47 109.47 109.47
Sites, in units of the cell vectors:
Si 0.7969 0.7969 0.7969
Si 0.5000 0.0000 0.2969
Si 0.2969 0.5000 0.0000
Si 0.5000 0.0000 0.7031
Si 0.0000 0.2969 0.5000
Si 0.0000 0.7031 0.5000
Si 0.2031 0.2031 0.2031
Si 0.7031 0.5000 0.0000

Summary:
- calculated density (g cm⁻³) = 2.5
- excess energy over the best structure of this formula in the dataset (eV/atom) = 0.158
- uncorrected formation energy (eV per atom) = 0.158
- electronic total energy (eV/atom) = -5.265

***

[3]
Density functional theory data (PBE) for a relaxed Si crystal.

Lattice parameters (Å, degrees): 2.6678 2.6678 2.4415 90.00 90.00 120.00
Sites, in units of the cell vectors:
Si 0.0000 0.0000 0.0000

Summary:
- calculated density (g cm⁻³) = 3.1
- excess energy over the best structure of this formula in the dataset (eV/atom) = 0.301
- uncorrected formation energy (eV per atom) = 0.301
- electronic total energy (eV/atom) = -5.122

***

[4]
Density functional theory data (PBE) for a relaxed Si crystal.

Lattice parameters (Å, degrees): 7.0062 7.0062 7.8176 90.00 90.00 90.00
Sites, in units of the cell vectors:
Si 0.5614 0.3879 0.8983
Si 0.9386 0.8879 0.3517
Si 0.1121 0.0614 0.1483
Si 0.4386 0.6121 0.3983
Si 0.4040 0.0956 0.8423
Si 0.9040 0.4044 0.9077
Si 0.0614 0.1121 0.8517
Si 0.6121 0.4386 0.6017
Si 0.9044 0.5960 0.6577
Si 0.5956 0.0959 0.5923
Si 0.0956 0.4040 0.1577
Si 0.3879 0.5614 0.1017
Si 0.5960 0.9044 0.3423
Si 0.4044 0.9040 0.0923
Si 0.0959 0.5956 0.4077
Si 0.8879 0.9386 0.6483

Summary:
- calculated density (g cm⁻³) = 1.9
- excess energy over the best structure of this formula in the dataset (eV/atom) = 0.258
- uncorrected formation energy (eV per atom) = 0.258
- electronic total energy (eV/atom) = -5.165

***

[5]
Density functional theory data (PBE) for a relaxed Si crystal.

Lattice parameters (Å, degrees): 3.7239 5.3373 7.9422 100.91 89.89 109.96
Sites, in units of the cell vectors:
Si 0.3041 0.4865 0.4724
Si 0.5179 0.9095 0.7060
Si 0.4579 0.8049 0.2802
Si 0.9589 0.7916 0.8713
Si 0.3276 0.5336 0.9904
Si 0.6724 0.2176 0.5076
Si 0.6729 0.2209 0.9959
Si 0.0809 0.0502 0.1696

Summary:
- calculated density (g cm⁻³) = 2.6
- excess energy over the best structure of this formula in the dataset (eV/atom) = 0.391
- uncorrected formation energy (eV per atom) = 0.391
- electronic total energy (eV/atom) = -5.032

***

[6]
Density functional theory data (PBE) for a relaxed Si crystal.

Lattice parameters (Å, degrees): 3.8634 5.9318 11.7297 90.00 90.00 90.00
Sites, in units of the cell vectors:
Si 0.0000 0.6129 0.5000
Si 0.5000 0.3873 0.5000
Si 0.0000 0.8834 0.3528
Si 0.5000 0.1167 0.6472
Si 0.5000 0.1166 0.1472
Si 0.5000 0.3871 0.0000
Si 0.0000 0.6127 0.0000
Si 0.5000 0.1167 0.3528
Si 0.0000 0.8834 0.6472
Si 0.0000 0.8833 0.1472
Si 0.0000 0.8833 0.8528
Si 0.5000 0.1166 0.8528

Summary:
- calculated density (g cm⁻³) = 2.1
- excess energy over the best structure of this formula in the dataset (eV/atom) = 0.154
- uncorrected formation energy (eV per atom) = 0.154
- electronic total energy (eV/atom) = -5.269

***

[7]
Density functional theory data (PBE) for a relaxed Si crystal.

Lattice parameters (Å, degrees): 6.1882 3.3334 3.4137 90.00 90.00 90.00
Sites, in units of the cell vectors:
Si 0.3086 0.5000 0.5000
Si 0.6914 0.5000 0.5000
Si 0.8086 0.0000 0.0000
Si 0.1914 0.0000 0.0000

Summary:
- calculated density (g cm⁻³) = 2.6
- excess energy over the best structure of this formula in the dataset (eV/atom) = 0.289
- uncorrected formation energy (eV per atom) = 0.289
- electronic total energy (eV/atom) = -5.134

***

[8]
Density functional theory data (PBE) for a relaxed Sm5Si3 crystal.

Lattice parameters (Å, degrees): 7.7042 7.7042 8.7915 115.99 115.99 90.00
Sites, in units of the cell vectors:
Sm 0.8214 0.3214 0.2905
Sm 0.3214 0.4692 0.2905
Sm 0.1786 0.6786 0.7095
Sm 0.5308 0.0308 0.7095
Sm 0.0308 0.1786 0.7095
Sm 0.0000 0.0000 0.0000
Sm 0.6786 0.5308 0.7095
Sm 0.5000 0.5000 0.0000
Sm 0.4692 0.9692 0.2905
Sm 0.9692 0.8214 0.2905
Si 0.1179 0.6179 0.0000
Si 0.2500 0.2500 0.5000
Si 0.8821 0.3821 0.0000
Si 0.6179 0.8821 0.0000
Si 0.7500 0.7500 0.5000
Si 0.3821 0.1179 0.0000

Summary:
- calculated density (g cm⁻³) = 6.8
- uncorrected formation energy (eV per atom) = -0.609
- electronic total energy (eV/atom) = -5.592